1.
{"formula": "MgIn2Se", "functional": "PBEsol", "state": "optimized geometry", "formation_energy_uncorrected_ev_per_atom": -0.18, "lattice_angstrom": [[3.6435, 0.0000, 0.0000], [0.0000, 3.6435, 0.0000], [0.0000, 0.0000, 7.0009]], "species": ["In", "In", "Mg", "Se"], "fractional_positions": [[0.0000, 0.0000, 0.7392], [0.0000, 0.0000, 0.2608], [0.5000, 0.5000, 0.0000], [0.5000, 0.5000, 0.5000]]}

2.
{"formula": "Sm2MgIn", "functional": "PBEsol", "state": "optimized geometry", "delta_e_f_mev_per_atom": -355, "lattice_angstrom": [[5.3333, 0.0000, 0.0000], [2.6667, 4.6188, 0.0000], [2.6667, 1.5396, 4.3547]], "species": ["In", "Mg", "Sm", "Sm"], "fractional_positions": [[0.0000, 0.0000, 0.0000], [0.5000, 0.5000, 0.5000], [0.7500, 0.7500, 0.7500], [0.2500, 0.2500, 0.2500]]}

3.
{"formula": "MgInSn2", "functional": "PBEsol", "state": "optimized geometry", "delta_e_f_mev_per_atom": -17, "lattice_angstrom": [[5.2052, 0.0000, 0.0000], [2.6026, 4.5078, 0.0000], [2.6026, 1.5026, 4.2500]], "species": ["Sn", "Sn", "In", "Mg"], "fractional_positions": [[0.7500, 0.7500, 0.7500], [0.2500, 0.2500, 0.2500], [0.5000, 0.5000, 0.5000], [0.0000, 0.0000, 0.0000]]}

4.
{"formula": "SrMgIn3", "functional": "PBEsol", "state": "optimized geometry", "delta_e_f_mev_per_atom": 823, "lattice_angstrom": [[5.9949, 0.0000, 0.0000], [0.0000, 5.9949, 0.0000], [0.0000, 0.0000, 5.9949]], "species": ["In", "In", "In", "Sr", "Mg"], "fractional_positions": [[0.5000, 0.0000, 0.0000], [0.0000, 0.5000, 0.0000], [0.0000, 0.0000, 0.5000], [0.0000, 0.0000, 0.0000], [0.5000, 0.5000, 0.5000]]}

5.
{"formula": "Sr2MgIn", "functional": "PBEsol", "state": "optimized geometry", "delta_e_f_mev_per_atom": -269, "lattice_angstrom": [[4.0348, 0.0000, 0.0000], [0.0000, 4.0348, 0.0000], [0.0000, 0.0000, 8.2417]], "species": ["Sr", "Sr", "In", "Mg"], "fractional_positions": [[0.0000, 0.0000, 0.7624], [0.0000, 0.0000, 0.2376], [0.5000, 0.5000, 0.0000], [0.5000, 0.5000, 0.5000]]}

6.
{"formula": "SrMgIn3", "functional": "PBEsol", "state": "optimized geometry", "delta_e_f_mev_per_atom": -353, "lattice_angstrom": [[-2.7983, 1.4610, 3.4228], [-3.6167, -2.0771, -2.0703], [4.3913, -4.9587, 2.5396]], "species": ["Mg", "In", "In", "In", "Sr"], "fractional_positions": [[0.2500, 0.7500, 0.5000], [0.7500, 0.2500, 0.5000], [0.3894, 0.3894, 0.7788], [0.6106, 0.6106, 0.2212], [0.0000, 0.0000, 0.0000]]}

Number 1: E_tot -12.2 eV/cell. Number 2: E_tot -16.3 eV/cell. Number 3: E_tot -13.3 eV/cell. Number 4: E_tot -8.4 eV/cell. Number 5: E_tot -9.5 eV/cell. Number 6: E_tot -14.3 eV/cell.